Tb3HoEr6Tm2 | PBE-GGA | optimized geometry

Lattice parameters (Å, degrees): 6.0779 6.0779 11.6288 94.99 94.99 119.93
Positions (direct):
Tb 0.1667 0.8333 0.5000
Tb 0.8333 0.1667 0.5000
Tb 0.5000 0.5000 0.5000
Ho 0.0000 0.0000 0.0000
Er 0.9173 0.5838 0.7517
Er 0.7491 0.7491 0.2482
Er 0.0827 0.4162 0.2483
Er 0.5838 0.9173 0.7517
Er 0.2509 0.2509 0.7518
Er 0.4162 0.0827 0.2483
Tm 0.3333 0.6667 0.0000
Tm 0.6667 0.3333 0.0000

Output
* total energy: -0.167 hartree per atom
* space group: C2/m, No. 12
* energy of formation: 0.0212 eV per atom
* V: 30.6 A^3/atom
* total magnetization: 0.00 μB/f.u.



Ce8GaRu2 | PBE-GGA | optimized geometry

Lattice parameters (Å, degrees): 5.6151 7.6810 7.6810 67.70 104.39 104.39
Positions (direct):
Ce 0.2908 0.3990 0.8023
Ce 0.7092 0.1977 0.6010
Ce 0.2447 0.8320 0.8320
Ce 0.7553 0.1680 0.1680
Ce 0.2908 0.8023 0.3990
Ce 0.7092 0.6010 0.1977
Ce 0.7799 0.5767 0.5767
Ce 0.2201 0.4233 0.4233
Ga 0.0000 0.0000 0.0000
Ru 0.6334 0.7940 0.7940
Ru 0.3666 0.2060 0.2060

Output
* total energy: -0.232 hartree per atom
* space group: C2/m, No. 12
* energy of formation: -0.0436 eV per atom
* V: 26.6 A^3/atom
* total magnetization: 1.31 μB/f.u.



Y3Cd2Au | PBE-GGA | optimized geometry

Lattice parameters (Å, degrees): 3.6927 3.6927 11.1445 90.00 90.00 90.00
Positions (direct):
Y 0.0000 0.0000 0.0000
Y 0.0000 0.0000 0.6557
Y 0.0000 0.0000 0.3443
Cd 0.5000 0.5000 0.8326
Cd 0.5000 0.5000 0.1674
Au 0.5000 0.5000 0.5000

Output
* total energy: -0.169 hartree per atom
* space group: P4/mmm, No. 123
* energy of formation: -0.5237 eV per atom
* V: 25.3 A^3/atom
* total magnetization: 0.00 μB/f.u.



Nd5MgHg6 | PBE-GGA | optimized geometry

Lattice parameters (Å, degrees): 5.2841 9.3228 9.3228 120.29 106.47 106.47
Positions (direct):
Mg 0.0000 0.0000 0.0000
Nd 0.5000 0.1621 0.8379
Nd 0.0000 0.3292 0.6708
Nd 0.5000 0.5000 0.5000
Nd 0.0000 0.6708 0.3292
Nd 0.5000 0.8379 0.1621
Hg 0.2428 0.0836 0.4022
Hg 0.7572 0.5978 0.9164
Hg 0.7412 0.2409 0.2409
Hg 0.2588 0.7591 0.7591
Hg 0.2428 0.4022 0.0836
Hg 0.7572 0.9164 0.5978

Output
* total energy: -0.100 hartree per atom
* space group: Immm, No. 71
* energy of formation: -0.4511 eV per atom
* V: 27.2 A^3/atom
* total magnetization: 0.00 μB/f.u.



LiBeAsBr2 | PBE-GGA | optimized geometry

Lattice parameters (Å, degrees): 4.7690 4.7690 5.0592 90.00 90.00 90.00
Positions (direct):
Be 0.5000 0.5000 0.5000
As 0.0000 0.0000 0.5000
Br 0.0000 0.5000 0.0000
Br 0.5000 0.0000 0.0000
Li 0.0000 0.0000 0.0000

Output
* total energy: -0.081 hartree per atom
* space group: P4/mmm, No. 123
* V: 23.0 A^3/atom
* total magnetization: 0.00 μB/f.u.
* uncorrected formation energy: 0.513 eV/atom



Si3N4 | PBE-GGA | optimized geometry

Lattice parameters (Å, degrees): 7.8080 7.8080 5.6590 90.00 90.00 120.00
Positions (direct):
N 0.0000 0.0000 0.4832
N 0.0000 0.0000 0.9832
N 0.6667 0.3333 0.6352
N 0.3333 0.6667 0.1352
N 0.6100 0.9546 0.4635
N 0.0454 0.6554 0.4635
N 0.3446 0.3900 0.4635
N 0.6554 0.0454 0.9635
N 0.3900 0.3446 0.9635
N 0.9546 0.6100 0.9635
N 0.3188 0.0043 0.7286
N 0.9957 0.3145 0.7286
N 0.6855 0.6812 0.7286
N 0.3145 0.9957 0.2286
N 0.6812 0.6855 0.2286
N 0.0043 0.3188 0.2286
Si 0.5122 0.4298 0.6907
Si 0.5702 0.0824 0.6907
Si 0.9176 0.4878 0.6907
Si 0.0824 0.5702 0.1907
Si 0.4878 0.9176 0.1907
Si 0.4298 0.5122 0.1907
Si 0.1672 0.9138 0.4825
Si 0.0862 0.2534 0.4825
Si 0.7466 0.8328 0.4825
Si 0.2534 0.0862 0.9825
Si 0.8328 0.7466 0.9825
Si 0.9138 0.1672 0.9825

Output
* total energy: -0.301 hartree per atom
* space group: P31c, No. 159
* V: 10.7 A^3/atom
* total magnetization: 0.00 μB/f.u.
* uncorrected formation energy: -1.100 eV/atom



KHg2Se2 | PBE-GGA | optimized geometry

Lattice parameters (Å, degrees): 6.9710 6.9710 8.6508 113.76 113.76 90.00
Positions (direct):
K 0.0000 0.0000 0.0000
K 0.2500 0.7500 0.5000
Hg 0.1250 0.3750 0.7500
Hg 0.6250 0.3750 0.2500
Hg 0.6250 0.8750 0.2500
Hg 0.6250 0.3750 0.7500
Se 0.7603 0.7603 0.5206
Se 0.4897 0.9897 0.9794
Se 0.2397 0.2397 0.4794
Se 0.0103 0.5103 0.0206

Output
* total energy: -0.077 hartree per atom
* space group: I4_1/amd, No. 141
* V: 34.5 A^3/atom
* total magnetization: 0.00 μB/f.u.
* uncorrected formation energy: -0.351 eV/atom



Hf4CuHg | PBE-GGA | optimized geometry

Lattice parameters (Å, degrees): 3.1928 3.1928 11.9673 90.00 90.00 90.00
Positions (direct):
Hf 0.5000 0.5000 0.1798
Hf 0.0000 0.0000 0.6448
Hf 0.0000 0.0000 0.3552
Hf 0.5000 0.5000 0.8202
Cu 0.5000 0.5000 0.5000
Hg 0.0000 0.0000 0.0000

Output
* total energy: -0.276 hartree per atom
* space group: P4/mmm, No. 123
* energy of formation: -0.1438 eV per atom
* V: 20.3 A^3/atom
* total magnetization: 0.00 μB/f.u.



Tl2TcAg | PBE-GGA | optimized geometry

Lattice parameters (Å, degrees): 3.1397 3.1397 9.6522 90.00 90.00 118.12
Positions (direct):
Ag 0.5000 0.5000 0.2500
Tc 0.5000 0.5000 0.7500
Tl 0.0000 0.0000 0.9906
Tl 0.0000 0.0000 0.5094

Output
* total energy: -0.143 hartree per atom
* space group: Cmmm, No. 65
* energy of formation: 0.5971 eV per atom
* V: 21.0 A^3/atom
* total magnetization: 1.04 μB/f.u.



BaAuSe2O8 | PBE-GGA | optimized geometry

Lattice parameters (Å, degrees): 5.2486 5.2486 8.4150 71.83 71.83 60.00
Positions (direct):
Ba 0.5000 0.5000 0.5000
Au 0.0000 0.0000 0.0000
Se 0.2531 0.2531 0.2406
Se 0.7469 0.7469 0.7594
O 0.1817 0.1817 0.4550
O 0.5726 0.2912 0.1796
O 0.8183 0.8183 0.5450
O 0.9567 0.5726 0.1796
O 0.0433 0.4274 0.8204
O 0.2912 0.9567 0.1796
O 0.7088 0.0433 0.8204
O 0.4274 0.7088 0.8204

Output
* total energy: -0.192 hartree per atom
* space group: R-3, No. 148
* V: 15.6 A^3/atom
* total magnetization: 1.03 μB/f.u.
* uncorrected formation energy: -0.896 eV/atom



NaSrInPb | PBE-GGA | optimized geometry

Lattice parameters (Å, degrees): 4.6072 5.1539 5.2383 90.00 90.00 90.00
Positions (direct):
Na 0.0000 0.0000 0.0000
Sr 0.0000 0.5000 0.5000
In 0.5000 0.5000 0.0000
Pb 0.5000 0.0000 0.5000

Output
* total energy: -0.097 hartree per atom
* space group: Pmmm, No. 47
* energy of formation: -0.2791 eV per atom
* V: 31.1 A^3/atom
* total magnetization: 0.00 μB/f.u.



PmPBrO4 | PBE-GGA | optimized geometry

Lattice parameters (Å, degrees): 6.4948 6.4948 6.7160 81.09 81.09 58.72
Positions (direct):
Pm 0.2983 0.2983 0.8164
Pm 0.7017 0.7017 0.1836
P 0.6366 0.6366 0.7449
P 0.3634 0.3634 0.2551
Br 0.0216 0.0216 0.3266
Br 0.9784 0.9784 0.6734
O 0.3013 0.3013 0.4768
O 0.6987 0.6987 0.5232
O 0.1284 0.5132 0.1367
O 0.5001 0.5001 0.2349
O 0.4868 0.8716 0.8633
O 0.5132 0.1284 0.1367
O 0.4999 0.4999 0.7651
O 0.8716 0.4868 0.8633

Output
* total energy: -0.256 hartree per atom
* space group: C2/m, No. 12
* V: 17.0 A^3/atom
* total magnetization: 0.00 μB/f.u.
* uncorrected formation energy: -2.440 eV/atom



- Number 3 is which compound?
  Y3Cd2Au